1.
Computed, not measured: a relaxed Ho2Al2Ag crystal at the PBE-GGA level of DFT.

Unit cell a=6.979 b=6.979 c=4.634 alpha=90.00 beta=90.00 gamma=90.00
Sites, in units of the cell vectors:
Ho  0.168  0.332  0.000
Ho  0.332  0.832  0.000
Ho  0.668  0.168  0.000
Ho  0.832  0.668  0.000
Al  0.135  0.635  0.500
Al  0.365  0.135  0.500
Al  0.635  0.865  0.500
Al  0.865  0.365  0.500
Ag  0.000  0.000  0.500
Ag  0.500  0.500  0.500

## Properties
E above lowest polymorph in meV/atom: 10
Formation enthalpy at 0 K in meV/atom: -385


2.
Computed, not measured: a relaxed HoAlAg2 crystal at the PBE-GGA level of DFT.

Unit cell a=4.447 b=4.447 c=4.180 alpha=90.00 beta=90.00 gamma=90.00
Sites, in units of the cell vectors:
Ho  0.000  0.000  0.000
Al  0.500  0.500  0.000
Ag  0.000  0.500  0.500
Ag  0.500  0.000  0.500

## Properties
Formation enthalpy at 0 K in meV/atom: -166


3.
Computed, not measured: a relaxed HoAl4Ag6 crystal at the PBE-GGA level of DFT.

Unit cell a=6.828 b=6.828 c=6.828 alpha=121.29 beta=121.29 gamma=87.78
Sites, in units of the cell vectors:
Ho  0.000  0.000  0.000
Al  0.255  0.578  0.000
Al  0.422  0.422  0.677
Al  0.578  0.255  0.000
Al  0.745  0.745  0.323
Ag  0.000  0.500  0.500
Ag  0.100  0.100  0.589
Ag  0.489  0.900  0.000
Ag  0.500  0.000  0.500
Ag  0.511  0.511  0.411
Ag  0.900  0.489  0.000

## Properties
E above lowest polymorph in meV/atom: 114
Formation enthalpy at 0 K in meV/atom: -41


4.
Computed, not measured: a relaxed HoAl2Ag2 crystal at the PBE-GGA level of DFT.

Unit cell a=6.261 b=6.261 c=6.261 alpha=139.98 beta=139.98 gamma=57.88
Sites, in units of the cell vectors:
Ho  0.000  0.000  0.000
Al  0.386  0.386  0.000
Al  0.614  0.614  0.000
Ag  0.250  0.750  0.500
Ag  0.750  0.250  0.500

## Properties
E above lowest polymorph in meV/atom: 0
Formation enthalpy at 0 K in meV/atom: -285